A plane-wave DFT calculation with GGA-PBE was carried out for a relaxed DyHIr crystal.

ΔE to the lowest computed polymorph (eV per formula unit): 0.71
Magnetization (Bohr magnetons per cell): 0.00

a b c (Å): 3.9079 3.9079 3.5051
angles (deg): 90.00 90.00 120.00
Space group P-6m2 (No. 187)
Symmetry-distinct sites (fractional):
Dy1 0.0000 0.0000 0.0000
H1 0.6667 0.3333 0.5000
Ir1 0.3333 0.6667 0.5000

A plane-wave DFT calculation with GGA-PBE was carried out for a relaxed ZrZn3Fe crystal.

ΔE to the lowest computed polymorph (eV per formula unit): 5.45
Magnetization (Bohr magnetons per cell): 1.98

a b c (Å): 5.127 5.127 5.127
angles (deg): 90.00 90.00 90.00
Space group Pm-3m (No. 221)
Symmetry-distinct sites (fractional):
Zr1 0.000 0.000 0.000
Zn1 0.000 0.000 0.500
Fe1 0.500 0.500 0.500

A plane-wave DFT calculation with GGA-PBE was carried out for a relaxed NaTc2Os2 crystal.

ΔE to the lowest computed polymorph (eV per formula unit): 0.00
Magnetization (Bohr magnetons per cell): 0.00

a b c (Å): 7.762 7.762 2.717
angles (deg): 90.00 90.00 90.00
Space group P4/mbm (No. 127)
Symmetry-distinct sites (fractional):
Na1 0.000 0.000 0.000
Tc1 0.165 0.335 0.500
Os1 0.123 0.623 0.000

A plane-wave DFT calculation with GGA-PBE was carried out for a relaxed SmPaTaN3 crystal.

Magnetization (Bohr magnetons per cell): 0.00
Formation energy from raw total energies (eV per atom): -1.106

a b c (Å): 7.246 3.354 7.987
angles (deg): 90.00 92.43 90.00
Space group P2_1/m (No. 11)
Symmetry-distinct sites (fractional):
Sm1 0.134 0.250 0.165
Pa1 0.374 0.750 0.834
Ta1 0.135 0.250 0.566
N1 0.136 0.250 0.845
N2 0.176 0.750 0.419
N3 0.402 0.750 0.107

A plane-wave DFT calculation with GGA-PBE was carried out for a relaxed ZnBIr2 crystal.

ΔE to the lowest computed polymorph (eV per formula unit): 1.12
Magnetization (Bohr magnetons per cell): 0.00

a b c (Å): 2.753 13.636 5.428
angles (deg): 90.00 90.00 90.00
Space group Cmcm (No. 63)
Symmetry-distinct sites (fractional):
Zn1 0.000 0.238 0.250
B1 0.000 0.003 0.750
Ir1 0.000 0.403 0.501

A plane-wave DFT calculation with GGA-PBE was carried out for a relaxed MgAsOs2 crystal.

ΔE to the lowest computed polymorph (eV per formula unit): 0.59
Magnetization (Bohr magnetons per cell): 0.00

a b c (Å): 2.890 3.949 5.382
angles (deg): 90.00 90.00 90.00
Space group Pmm2 (No. 25)
Symmetry-distinct sites (fractional):
Mg1 0.000 0.000 0.000
As1 0.500 0.500 0.734
Os1 0.000 0.000 0.490
Os2 0.500 0.500 0.267

E values (in eV per atom) by entry order: -5.8977; -2.7356; -8.5771; -9.6135; -6.4013; -6.8940.
D(E_F) values (in states/eV per atom) by entry order: 0.4147; 0.7343; 1.2236; 0.4514; 0.9041; 0.7932.